Below is a relaxed structure of Cr2BiH, with properties calculated at the PBE level.

The value obtained for the offset from the most stable computed form is 0.370 eV/atom. Its symmetry is Fm-3m (225). The value obtained for the magnetization is 2.000 μB per atom.

CIF file:
```
data_Cr2BiH
_cell_length_a 4.6672
_cell_length_b 4.6672
_cell_length_c 4.6672
_cell_angle_alpha 60.00
_cell_angle_beta 60.00
_cell_angle_gamma 60.00
_space_group_name_H-M_alt 'P 1'
_space_group_IT_number 1
loop_
_space_group_symop_operation_xyz
'x,y,z'
loop_
_atom_site_label
_atom_site_type_symbol
_atom_site_fract_x
_atom_site_fract_y
_atom_site_fract_z
Cr1 Cr 0.2500 0.2500 0.2500
Cr2 Cr 0.7500 0.7500 0.7500
Bi1 Bi 0.5000 0.5000 0.5000
H1 H 0.0000 0.0000 0.0000
```

Below is a relaxed structure of CrBi3H, with properties calculated at the PBE level.

The value obtained for the offset from the most stable computed form is 0.261 eV/atom. Its symmetry is Pm-3m (221). The value obtained for the magnetization is 0.331 μB per atom.

CIF file:
```
data_CrBi3H
_cell_length_a 5.1677
_cell_length_b 5.1677
_cell_length_c 5.1677
_cell_angle_alpha 90.00
_cell_angle_beta 90.00
_cell_angle_gamma 90.00
_space_group_name_H-M_alt 'P 1'
_space_group_IT_number 1
loop_
_space_group_symop_operation_xyz
'x,y,z'
loop_
_atom_site_label
_atom_site_type_symbol
_atom_site_fract_x
_atom_site_fract_y
_atom_site_fract_z
Cr1 Cr 0.0000 0.0000 0.0000
Bi1 Bi 0.0000 0.5000 0.0000
Bi2 Bi 0.0000 0.0000 0.5000
Bi3 Bi 0.5000 0.0000 0.0000
H1 H 0.5000 0.5000 0.5000
```

Below is a relaxed structure of CrBiH2, with properties calculated at the PBE level.

The value obtained for the offset from the most stable computed form is 0.519 eV/atom. Its symmetry is Fm-3m (225). The value obtained for the magnetization is 0.938 μB per atom.

CIF file:
```
data_CrBiH2
_cell_length_a 4.2052
_cell_length_b 4.2052
_cell_length_c 4.2052
_cell_angle_alpha 60.00
_cell_angle_beta 60.00
_cell_angle_gamma 60.00
_space_group_name_H-M_alt 'P 1'
_space_group_IT_number 1
loop_
_space_group_symop_operation_xyz
'x,y,z'
loop_
_atom_site_label
_atom_site_type_symbol
_atom_site_fract_x
_atom_site_fract_y
_atom_site_fract_z
Cr1 Cr 0.0000 0.0000 0.0000
Bi1 Bi 0.5000 0.5000 0.5000
H1 H 0.2500 0.2500 0.2500
H2 H 0.7500 0.7500 0.7500
```

Below is a relaxed structure of Cr3BiH, with properties calculated at the PBE level.

The value obtained for the offset from the most stable computed form is 1.223 eV/atom. Its symmetry is Pm-3m (221). The value obtained for the magnetization is 2.800 μB per atom.

CIF file:
```
data_Cr3BiH
_cell_length_a 5.4185
_cell_length_b 5.4185
_cell_length_c 5.4185
_cell_angle_alpha 90.00
_cell_angle_beta 90.00
_cell_angle_gamma 90.00
_space_group_name_H-M_alt 'P 1'
_space_group_IT_number 1
loop_
_space_group_symop_operation_xyz
'x,y,z'
loop_
_atom_site_label
_atom_site_type_symbol
_atom_site_fract_x
_atom_site_fract_y
_atom_site_fract_z
Cr1 Cr 0.0000 0.5000 0.0000
Cr2 Cr 0.0000 0.0000 0.5000
Cr3 Cr 0.5000 0.0000 0.0000
Bi1 Bi 0.0000 0.0000 0.0000
H1 H 0.5000 0.5000 0.5000
```